Crystalline Be2CdAs at its relaxed geometry, computed with PBE-GGA.

Summary:
Formation enthalpy at 0 K, eV per atom: 0.3026
Space group: No. 44
V, Å³ per atom: 15.610
Distance to the lowest polymorph of the same formula, kJ/mol of formula units: 39.6

a = 6.153 Å, b = 6.153 Å, c = 6.153 Å
α = 148.93°, β = 148.61°, γ = 44.75°
Element x y z (fractional)
Be  0.000  0.000  0.000
Be  0.860  0.360  0.500
Cd  0.232  0.732  0.500
As  0.506  0.506  0.000

Crystalline NaSrAlHg at its relaxed geometry, computed with PBE-GGA.

Summary:
Formation enthalpy at 0 K, eV per atom: -0.1350
Space group: No. 216
V, Å³ per atom: 25.504

a = 5.245 Å, b = 5.245 Å, c = 5.245 Å
α = 60.00°, β = 60.00°, γ = 60.00°
Element x y z (fractional)
Na  0.000  0.000  0.000
Sr  0.750  0.750  0.750
Al  0.250  0.250  0.250
Hg  0.500  0.500  0.500

Crystalline LaCdGePt2 at its relaxed geometry, computed with PBE-GGA.

Summary:
Formation enthalpy at 0 K, eV per atom: -0.6405
Space group: No. 6
V, Å³ per atom: 21.980
Distance to the lowest polymorph of the same formula, kJ/mol of formula units: 64.2

a = 5.032 Å, b = 4.175 Å, c = 5.232 Å
α = 90.00°, β = 91.41°, γ = 90.00°
Element x y z (fractional)
La  0.000  0.000  0.000
Cd  0.511  0.500  0.222
Ge  0.608  0.500  0.732
Pt  0.022  0.500  0.467
Pt  0.389  0.000  0.584

Crystalline RbPtF at its relaxed geometry, computed with PBE-GGA.

Summary:
Space group: No. 62
V, Å³ per atom: 21.006
Distance to the lowest polymorph of the same formula, kJ/mol of formula units: 168.6
Formation energy without anion corrections, kcal/mol of atoms: -17.622

a = 9.891 Å, b = 4.725 Å, c = 5.394 Å
α = 90.00°, β = 90.00°, γ = 90.00°
Element x y z (fractional)
Rb  0.250  0.250  0.249
Rb  0.250  0.750  0.749
Rb  0.750  0.250  0.251
Rb  0.750  0.750  0.751
Pt  0.000  0.250  0.640
Pt  0.000  0.750  0.360
Pt  0.500  0.250  0.860
Pt  0.500  0.750  0.140
F  0.000  0.000  0.000
F  0.000  0.500  0.000
F  0.500  0.000  0.500
F  0.500  0.500  0.500

no.,size of the total moment (μB per formula unit),DOS at the Fermi energy (states/eV per cell)
1,0.00,0.7
2,0.00,1.2
3,0.00,2.4
4,0.00,0.0